1.
Material: Cs4KBr5
Method: DFT, PBE
State: relaxed

Lattice parameters (Å, degrees): 5.152 5.152 18.447 98.03 98.03 90.00
Atoms (fractional coordinates):
Cs 0.598 0.598 0.196
Cs 0.802 0.802 0.603
Cs 0.402 0.402 0.804
Cs 0.198 0.198 0.397
Br 0.699 0.699 0.399
Br 0.094 0.094 0.187
Br 0.500 0.500 0.000
Br 0.906 0.906 0.813
Br 0.301 0.301 0.601
K 0.000 0.000 0.000

## Properties
Excess energy over the best structure of this formula in the dataset   0.03 eV per formula unit
Space-group type   I4/mmm

---

2.
Material: Cs2KBr2
Method: DFT, PBE
State: relaxed

Lattice parameters (Å, degrees): 10.660 10.660 4.381 90.00 90.00 90.00
Atoms (fractional coordinates):
Cs 0.140 0.360 0.000
Cs 0.860 0.640 0.000
Cs 0.640 0.140 0.000
Cs 0.360 0.860 0.000
Br 0.849 0.349 0.500
Br 0.151 0.651 0.500
Br 0.349 0.151 0.500
Br 0.651 0.849 0.500
K 0.000 0.000 0.000
K 0.500 0.500 0.000

## Properties
Excess energy over the best structure of this formula in the dataset   0.43 eV per formula unit
Space-group type   P4/mbm

---

3.
Material: CsK5Br6
Method: DFT, PBE
State: relaxed

Lattice parameters (Å, degrees): 8.343 8.346 8.350 60.02 80.32 70.35
Atoms (fractional coordinates):
Br 0.258 0.914 0.651
Br 0.742 0.086 0.349
Br 0.740 0.738 0.000
Br 0.260 0.262 0.000
Br 0.742 0.435 0.651
Br 0.258 0.565 0.349
K 0.000 0.333 0.334
K 0.000 0.667 0.666
K 0.500 0.500 0.000
K 0.500 0.164 0.672
K 0.500 0.836 0.328
Cs 0.000 0.000 0.000

## Properties
Space-group type   C2/m

---

4.
Material: CsK3Br
Method: DFT, PBE
State: relaxed

Lattice parameters (Å, degrees): 8.187 8.187 8.187 90.00 90.00 90.00
Atoms (fractional coordinates):
Cs 0.000 0.000 0.000
Br 0.500 0.500 0.500
K 0.500 0.000 0.000
K 0.000 0.500 0.000
K 0.000 0.000 0.500

## Properties
Excess energy over the best structure of this formula in the dataset   3.18 eV per formula unit
Space-group type   Pm-3m

---

5.
Material: CsKBr
Method: DFT, PBE
State: relaxed

Lattice parameters (Å, degrees): 5.226 5.226 13.093 90.00 90.00 90.00
Atoms (fractional coordinates):
Br 0.720 0.690 0.399
Br 0.220 0.190 0.118
Cs 0.720 0.689 0.117
Cs 0.220 0.190 0.400
K 0.720 0.689 0.656
K 0.220 0.189 0.860

## Properties
Excess energy over the best structure of this formula in the dataset   0.00 eV per formula unit
Space-group type   P4/nmm

---

6.
Material: Cs2KBr7
Method: DFT, PBE
State: relaxed

Lattice parameters (Å, degrees): 8.759 8.759 8.415 58.64 58.64 90.00
Site moments in Bohr magnetons follow the coordinates.
Atoms (fractional coordinates):
Br 0.247 0.247 0.000  0.24
Br 0.753 0.753 0.000  0.24
Br 0.753 0.247 0.000  0.24
Br 0.000 0.000 0.000  0.53
Br 0.221 0.221 0.557  0.01
Br 0.247 0.753 0.000  0.24
Br 0.779 0.779 0.443  0.01
K 0.500 0.500 0.000  0.02
Cs 0.250 0.750 0.500  0.00
Cs 0.750 0.250 0.500  0.00

## Properties
Space-group type   I4/mmm

---

7.
Material: Cs6KBr2
Method: DFT, PBE
State: relaxed

Lattice parameters (Å, degrees): 7.267 9.722 12.988 69.55 73.75 68.06
Atoms (fractional coordinates):
Cs 0.698 0.190 0.414
Cs 0.685 0.733 0.898
Cs 0.302 0.810 0.586
Cs 0.988 0.349 0.675
Cs 0.012 0.651 0.325
Cs 0.315 0.267 0.102
Br 0.178 0.226 0.417
Br 0.822 0.774 0.583
K 0.000 0.000 0.000

## Properties
Space-group type   C2/m

---

8.
Material: Cs6K3Br
Method: DFT, PBE
State: relaxed

Lattice parameters (Å, degrees): 9.244 14.462 13.598 90.00 90.00 91.37
Atoms (fractional coordinates):
Cs 0.645 0.360 0.297
Cs 0.348 0.294 0.623
Cs 0.171 0.523 0.349
Cs 0.355 0.640 0.703
Cs 0.671 0.023 0.151
Cs 0.652 0.706 0.377
Cs 0.848 0.794 0.877
Cs 0.329 0.977 0.849
Cs 0.829 0.477 0.651
Cs 0.855 0.140 0.797
Cs 0.145 0.860 0.203
Cs 0.152 0.206 0.123
K 0.532 0.358 0.948
K 0.968 0.142 0.448
K 0.000 0.500 0.000
K 0.032 0.858 0.552
K 0.468 0.642 0.052
K 0.500 0.000 0.500
Br 0.000 0.000 0.000
Br 0.500 0.500 0.500

## Properties
Space-group type   P2_1/c

---

9.
Material: Cs12K5Br2
Method: DFT, PBE
State: relaxed

Lattice parameters (Å, degrees): 10.997 12.824 14.868 113.62 111.70 90.00
Atoms (fractional coordinates):
Cs 0.405 0.163 0.293
Cs 0.494 0.210 0.988
Cs 0.873 0.638 0.281
Cs 0.595 0.837 0.707
Cs 0.112 0.837 0.707
Cs 0.888 0.163 0.293
Cs 0.019 0.846 0.038
Cs 0.981 0.154 0.962
Cs 0.127 0.362 0.719
Cs 0.591 0.362 0.719
Cs 0.409 0.638 0.281
Cs 0.506 0.790 0.012
K 0.243 0.989 0.485
K 0.757 0.011 0.515
K 0.000 0.500 0.000
K 0.241 0.497 0.482
K 0.759 0.503 0.518
Br 0.268 0.000 0.000
Br 0.732 0.000 0.000

## Properties
Space-group type   C2/m

---

10.
Material: Cs2KBr2
Method: DFT, PBE
State: relaxed

Lattice parameters (Å, degrees): 6.646 6.646 9.062 68.49 68.49 90.00
Atoms (fractional coordinates):
Br 0.250 0.750 0.500
Br 0.750 0.250 0.500
K 0.000 0.000 0.000
Cs 0.326 0.326 0.347
Cs 0.674 0.674 0.653

## Properties
Excess energy over the best structure of this formula in the dataset   0.43 eV per formula unit
Space-group type   I4/mmm

---

11.
Material: Cs5K3Br8
Method: DFT, PBE
State: relaxed

Lattice parameters (Å, degrees): 10.070 10.070 10.099 60.10 60.10 60.00
Atoms (fractional coordinates):
Br 0.250 0.768 0.732
Br 0.750 0.750 0.268
Br 0.243 0.243 0.272
Br 0.250 0.250 0.732
Br 0.768 0.250 0.732
Br 0.750 0.232 0.268
Br 0.757 0.757 0.728
Br 0.232 0.750 0.268
Cs 0.500 0.500 0.500
Cs 0.500 0.500 0.000
Cs 0.000 0.000 0.000
Cs 0.000 0.500 0.000
Cs 0.500 0.000 0.000
K 0.000 0.500 0.500
K 0.500 0.000 0.500
K 0.000 0.000 0.500

## Properties
Space-group type   R-3m

---

12.
Material: CsKBr
Method: DFT, PBE
State: relaxed

Lattice parameters (Å, degrees): 5.975 5.975 15.135 71.99 71.99 49.14
Atoms (fractional coordinates):
Br 0.468 0.468 0.780
Br 0.285 0.285 0.527
Cs 0.807 0.807 0.006
Cs 0.946 0.946 0.301
K 0.578 0.578 0.546
K 0.176 0.176 0.761

## Properties
Excess energy over the best structure of this formula in the dataset   0.23 eV per formula unit
Space-group type   C2/m

---

13.
Material: Cs3K12Br5
Method: DFT, PBE
State: relaxed

Lattice parameters (Å, degrees): 19.519 19.519 19.519 109.47 109.47 109.47
Atoms (fractional coordinates):
K 0.812 0.906 0.992
K 0.008 0.594 0.188
K 0.594 0.008 0.688
K 0.094 0.907 0.086
K 0.812 0.907 0.321
K 0.593 0.914 0.406
K 0.312 0.492 0.406
K 0.093 0.188 0.179
K 0.492 0.179 0.086
K 0.586 0.992 0.179
K 0.008 0.414 0.321
K 0.188 0.093 0.679
K 0.321 0.914 0.008
K 0.907 0.812 0.821
K 0.508 0.821 0.914
K 0.406 0.992 0.312
K 0.688 0.508 0.594
K 0.492 0.312 0.906
K 0.407 0.321 0.312
K 0.086 0.407 0.094
K 0.586 0.594 0.907
K 0.907 0.094 0.586
K 0.593 0.679 0.688
K 0.679 0.086 0.992
K 0.688 0.179 0.593
K 0.414 0.008 0.821
K 0.407 0.086 0.594
K 0.992 0.586 0.679
K 0.188 0.094 0.008
K 0.906 0.093 0.914
K 0.914 0.321 0.508
K 0.914 0.593 0.906
K 0.086 0.679 0.492
K 0.821 0.312 0.907
K 0.179 0.492 0.586
K 0.679 0.593 0.188
K 0.992 0.406 0.812
K 0.594 0.586 0.407
K 0.414 0.406 0.093
K 0.094 0.188 0.508
K 0.179 0.688 0.093
K 0.312 0.821 0.407
K 0.821 0.508 0.414
K 0.406 0.414 0.593
K 0.321 0.407 0.812
K 0.906 0.812 0.492
K 0.508 0.688 0.094
K 0.093 0.906 0.414
Br 0.125 0.750 0.375
Br 0.000 0.000 0.500
Br 0.375 0.250 0.125
Br 0.625 0.750 0.875
Br 0.250 0.375 0.625
Br 0.750 0.125 0.875
Br 0.000 0.500 0.000
Br 0.500 0.500 0.000
Br 0.625 0.875 0.250
Br 0.500 0.000 0.000
Br 0.875 0.625 0.750
Br 0.000 0.000 0.000
Br 0.875 0.250 0.625
Br 0.375 0.125 0.750
Br 0.750 0.625 0.375
Br 0.500 0.500 0.500
Br 0.250 0.875 0.125
Br 0.125 0.375 0.250
Br 0.500 0.000 0.500
Br 0.000 0.500 0.500
Cs 0.250 0.125 0.375
Cs 0.375 0.625 0.250
Cs 0.125 0.875 0.750
Cs 0.875 0.125 0.250
Cs 0.750 0.875 0.625
Cs 0.375 0.750 0.625
Cs 0.125 0.250 0.875
Cs 0.625 0.250 0.375
Cs 0.750 0.375 0.125
Cs 0.625 0.375 0.750
Cs 0.875 0.750 0.125
Cs 0.250 0.625 0.875

## Properties
Space-group type   Ia-3d

---

14.
Material: Cs8K3Br
Method: DFT, PBE
State: relaxed

Lattice parameters (Å, degrees): 10.545 15.498 15.498 120.00 90.00 90.00
Atoms (fractional coordinates):
Br 0.198 0.333 0.667
Br 0.698 0.667 0.333
K 0.238 0.839 0.161
K 0.738 0.679 0.839
K 0.738 0.161 0.839
K 0.238 0.839 0.679
K 0.238 0.321 0.161
K 0.738 0.161 0.321
Cs 0.988 0.454 0.908
Cs 0.488 0.546 0.454
Cs 0.279 0.188 0.377
Cs 0.001 0.000 0.000
Cs 0.279 0.623 0.812
Cs 0.988 0.092 0.546
Cs 0.779 0.812 0.623
Cs 0.779 0.377 0.188
Cs 0.279 0.188 0.812
Cs 0.488 0.908 0.454
Cs 0.988 0.454 0.546
Cs 0.488 0.546 0.092
Cs 0.779 0.812 0.188
Cs 0.559 0.333 0.667
Cs 0.059 0.667 0.333
Cs 0.501 0.000 0.000

## Properties
Space-group type   P6_3mc

---

15.
Material: Cs5KBr
Method: DFT, PBE
State: relaxed

Lattice parameters (Å, degrees): 9.813 9.813 13.503 96.89 96.89 94.67
Atoms (fractional coordinates):
Cs 0.343 0.884 0.614
Cs 0.884 0.343 0.114
Cs 0.901 0.099 0.750
Cs 0.662 0.812 0.002
Cs 0.116 0.657 0.886
Cs 0.099 0.901 0.250
Cs 0.657 0.116 0.386
Cs 0.188 0.338 0.498
Cs 0.812 0.662 0.502
Cs 0.338 0.188 0.998
Br 0.000 0.000 0.500
Br 0.000 0.000 0.000
K 0.428 0.572 0.250
K 0.572 0.428 0.750

## Properties
Space-group type   C2/c

---

16.
Material: CsK2Br3
Method: DFT, PBE
State: relaxed

Lattice parameters (Å, degrees): 4.866 6.996 8.519 114.24 106.59 90.00
Atoms (fractional coordinates):
K 0.166 0.166 0.832
K 0.834 0.834 0.168
Br 0.500 0.000 0.500
Br 0.181 0.681 0.862
Br 0.819 0.319 0.138
Cs 0.500 0.500 0.500

## Properties
Excess energy over the best structure of this formula in the dataset   0.00 eV per formula unit
Space-group type   Immm

---

17.
Material: Cs12K6Br
Method: DFT, PBE
State: relaxed

Lattice parameters (Å, degrees): 12.340 12.340 12.340 78.56 78.56 78.56
Atoms (fractional coordinates):
Cs 0.980 0.307 0.977
Cs 0.307 0.977 0.980
Cs 0.694 0.698 0.360
Cs 0.306 0.302 0.640
Cs 0.640 0.306 0.302
Cs 0.698 0.360 0.694
Cs 0.693 0.023 0.020
Cs 0.020 0.693 0.023
Cs 0.360 0.694 0.698
Cs 0.977 0.980 0.307
Cs 0.302 0.640 0.306
Cs 0.023 0.020 0.693
K 0.637 0.637 0.959
K 0.363 0.041 0.363
K 0.637 0.959 0.637
K 0.959 0.637 0.637
K 0.363 0.363 0.041
K 0.041 0.363 0.363
Br 0.000 0.000 0.000

## Properties
Space-group type   R-3

---

18.
Material: CsK2Br2
Method: DFT, PBE
State: relaxed

Lattice parameters (Å, degrees): 9.579 9.579 4.885 90.00 90.00 90.00
Atoms (fractional coordinates):
Cs 0.500 0.500 0.000
Cs 0.000 0.000 0.000
K 0.852 0.352 0.500
K 0.648 0.852 0.500
K 0.352 0.148 0.500
K 0.148 0.648 0.500
Br 0.348 0.848 0.000
Br 0.848 0.652 0.000
Br 0.652 0.152 0.000
Br 0.152 0.348 0.000

## Properties
Excess energy over the best structure of this formula in the dataset   0.32 eV per formula unit
Space-group type   P4/mbm

---

Calculated values (eV per atom) of formation energy without anion corrections for the records, taken in order: -1.7655, -1.2176, -1.7458, 0.0427, -1.1558, -0.8790, -0.7173, -0.3200, -0.3278, -1.2172, -1.7585, -1.0797, -0.7106, -0.2520, -0.4694, -1.7449, -0.1666, -1.2399.